KInC3: relaxed, PBE.

Cell lengths 4.520, 4.520, 4.520 Å; angles 90.00, 90.00, 90.00 degrees
Space group Pm-3m (No. 221)
Symmetry-distinct sites (fractional):
K1 0.000 0.000 0.000 [1 per cell]
In1 0.500 0.500 0.500 [1 per cell]
C1 0.000 0.500 0.500 [3 per cell]

Properties
magnetization	0.58	μB per formula unit
D(E_F)	0.774	states/eV/atom
polymorph energy (0 for the lowest one)	0.000	eV per atom
crystal system	cubic
formation enthalpy at 0 K	2.76	eV per atom



Y2BeZnAu6: relaxed, PBE.

Cell lengths 9.379, 9.379, 9.379 Å; angles 90.00, 90.00, 90.00 degrees
Space group Fm-3m (No. 225)
Symmetry-distinct sites (fractional):
Y1 0.250 0.250 0.250 [8 per cell]
Be1 0.000 0.000 0.000 [4 per cell]
Zn1 0.000 0.000 0.500 [4 per cell]
Au1 0.000 0.000 0.237 [24 per cell]

Properties
magnetization	0.00	μB per formula unit
D(E_F)	0.612	states/eV/atom
crystal system	cubic
formation enthalpy at 0 K	-0.35	eV per atom



Sm2Y3Ir2: relaxed, PBE.

Cell lengths 12.282, 3.823, 9.043 Å; angles 90.00, 116.36, 90.00 degrees
Space group C2/m (No. 12)
Symmetry-distinct sites (fractional):
Sm1 0.168 0.000 0.307 [4 per cell]
Y1 0.000 0.500 0.500 [2 per cell]
Y2 0.119 0.500 0.930 [4 per cell]
Ir1 0.176 0.000 0.739 [4 per cell]

Properties
magnetization	0.00	μB per formula unit
D(E_F)	1.093	states/eV/atom
crystal system	monoclinic
formation enthalpy at 0 K	-0.58	eV per atom